Here is a relaxed structure of K2CaInTc from Alexandria. Energies are from PBE.

The structure in POSCAR format:
```
K2CaInTc
1.0
6.4694 0.0000 0.0000
0.0000 5.3237 0.0000
0.0000 0.0000 6.4694
Tc K In Ca
1 2 1 1
Direct
0.0000 0.5000 0.0000
0.5000 0.0000 0.0000
0.0000 0.0000 0.5000
0.0000 0.0000 0.0000
0.5000 0.5000 0.5000
```

Properties
crystal system: tetragonal
DFT formation energy: 0.908 eV per atom
size of the total moment: 2.80 μB/f.u.
E: -2.552 eV per atom
mass density: 2.47 Mg/m³
space group: No. 123